(1)
Below is a relaxed structure of Li2Ac2Tl, with properties calculated at the PBE-GGA level.

Cell: 7.4484 7.4484 10.6331 Å, 90.00 90.00 90.00°
Last column: nearest neighbours and their distance in Å.
Fractional coordinates of all 20 atoms:
Li 0.1318 0.3682 0.7500  1 Li 2.78, 2 Tl 2.91
Li 0.8682 0.6318 0.2500  1 Li 2.78, 2 Tl 2.91
Li 0.3682 0.8682 0.2500  1 Li 2.78, 2 Tl 2.91
Li 0.3682 0.8682 0.7500  1 Li 2.78, 2 Tl 2.91
Li 0.6318 0.1318 0.7500  1 Li 2.78, 2 Tl 2.91
Li 0.8682 0.6318 0.7500  1 Li 2.78, 2 Tl 2.91
Li 0.6318 0.1318 0.2500  1 Li 2.78, 2 Tl 2.91
Li 0.1318 0.3682 0.2500  1 Li 2.78, 2 Tl 2.91
Ac 0.8186 0.3186 0.5000  6 Li 3.31-3.56
Ac 0.1814 0.6814 0.0000  6 Li 3.31-3.56
Ac 0.1814 0.6814 0.5000  6 Li 3.31-3.56
Ac 0.3186 0.1814 0.5000  6 Li 3.31-3.56
Ac 0.6814 0.8186 0.0000  6 Li 3.31-3.56
Ac 0.8186 0.3186 0.0000  6 Li 3.31-3.56
Ac 0.6814 0.8186 0.5000  6 Li 3.31-3.56
Ac 0.3186 0.1814 0.0000  6 Li 3.31-3.56
Tl 0.0000 0.0000 0.2502  4 Li 2.91
Tl 0.5000 0.5000 0.2498  4 Li 2.91
Tl 0.0000 0.0000 0.7498  4 Li 2.91
Tl 0.5000 0.5000 0.7502  4 Li 2.91

Values from the calculation:
Energy above the lowest structure with this stoichiometry, eV/atom: 0.000
Total magnetization, μB per formula unit: 0.00
ρ, g/cm³: 7.57
Energy, eV/atom: -3.00
Formation enthalpy at 0 K, kJ/mol of atoms: -11
Space group: P4/mbm, No. 127

***

(2)
Below is a relaxed structure of LiAc2Tl5, with properties calculated at the PBE-GGA level.

Cell: 5.6382 5.6382 8.6821 Å, 108.95 108.95 90.00°
Last column: nearest neighbours and their distance in Å.
Fractional coordinates of all 8 atoms:
Tl 0.1074 0.6074 0.2147  3 Tl 3.27-3.31, 2 Li 3.27, 4 Ac 3.53-3.63
Tl 0.3926 0.8926 0.7853  2 Li 3.27, 3 Tl 3.27-3.31, 4 Ac 3.53-3.63
Tl 0.5000 0.5000 0.0000  8 Tl 3.27
Tl 0.8926 0.3926 0.7853  3 Tl 3.27-3.31, 2 Li 3.27, 4 Ac 3.53-3.63
Tl 0.6074 0.1074 0.2147  2 Li 3.27, 3 Tl 3.27-3.31, 4 Ac 3.53-3.63
Ac 0.2553 0.2553 0.5106  9 Tl 3.53-3.77, 1 Li 3.94
Ac 0.7447 0.7447 0.4894  9 Tl 3.53-3.77, 1 Li 3.94
Li 0.0000 0.0000 0.0000  8 Tl 3.27

Values from the calculation:
Energy above the lowest structure with this stoichiometry, eV/atom: 0.057
Total magnetization, μB per formula unit: 0.00
ρ, g/cm³: 10.04
Energy, eV/atom: -2.94
Formation enthalpy at 0 K, kJ/mol of atoms: -19
Space group: I4/mmm, No. 139

***

(3)
Below is a relaxed structure of Li2Ac3Tl5, with properties calculated at the PBE-GGA level.

Cell: 4.4989 11.4091 11.4091 Å, 90.00 90.00 90.00°
Last column: nearest neighbours and their distance in Å.
Fractional coordinates of all 20 atoms:
Ac 0.0000 0.0000 0.0000  8 Tl 3.49
Ac 0.0000 0.8238 0.6762  3 Li 3.36-3.40, 6 Tl 3.63-3.70
Ac 0.0000 0.5000 0.5000  8 Tl 3.49
Ac 0.0000 0.1762 0.3238  3 Li 3.36-3.40, 6 Tl 3.63-3.70
Ac 0.0000 0.6762 0.1762  3 Li 3.36-3.40, 6 Tl 3.63-3.70
Ac 0.0000 0.3238 0.8238  3 Li 3.36-3.40, 6 Tl 3.63-3.70
Tl 0.5000 0.9291 0.2230  2 Li 2.95, 1 Tl 3.26
Tl 0.5000 0.2770 0.5709  2 Li 2.95, 1 Tl 3.26
Tl 0.5000 0.7770 0.9291  2 Li 2.95, 1 Tl 3.26
Tl 0.5000 0.5709 0.7230  2 Li 2.95, 1 Tl 3.26
Tl 0.5000 0.2230 0.0709  2 Li 2.95, 1 Tl 3.26
Tl 0.5000 0.5000 0.0000  4 Li 2.92, 4 Tl 3.26
Tl 0.5000 0.0709 0.7770  2 Li 2.95, 1 Tl 3.26
Tl 0.5000 0.4291 0.2770  2 Li 2.95, 1 Tl 3.26
Tl 0.5000 0.0000 0.5000  4 Li 2.92, 4 Tl 3.26
Tl 0.5000 0.7230 0.4291  2 Li 2.95, 1 Tl 3.26
Li 0.0000 0.8847 0.3847  6 Tl 2.92-2.95
Li 0.0000 0.3847 0.1153  6 Tl 2.92-2.95
Li 0.0000 0.1153 0.6153  6 Tl 2.92-2.95
Li 0.0000 0.6153 0.8847  6 Tl 2.92-2.95

Values from the calculation:
Total magnetization, μB per formula unit: 0.00
ρ, g/cm³: 9.74
Energy, eV/atom: -3.12
Formation enthalpy at 0 K, kJ/mol of atoms: -31
Space group: P4/mbm, No. 127